The following is a DFT calculation (PBE-GGA) of crystalline LaCrRe2 at its relaxed geometry.

```
LaCrRe2
1.0
1.451 0.838 9.354
-1.451 0.838 9.354
0.000 -1.676 9.354
La Cr Re
1 1 2
Cartesian
0.000 0.000 0.000
0.000 0.000 25.520
0.000 0.000 4.879
0.000 0.000 12.103
```

Calculated values
Fermi-level density of states	1.5469	states/eV per atom
energy relative to the lowest polymorph listed for this composition	383	meV per atom
energy of formation from the pure elements	0.73	eV per atom
theoretical density	13.7	g cm⁻³
calculated volume	68	Å³ per cell
SG	No. 160